1.
Below is a geometry-optimized Tb5YPb4 structure, with properties calculated at the PBE level.

Cell lengths 9.603, 9.603, 6.572 Å; angles 90.47, 90.47, 30.12 degrees
Fractional positions:
Tb: 0.000 0.000 0.000
Tb: 0.188 0.188 0.256
Tb: 0.394 0.394 0.245
Tb: 0.606 0.606 0.755
Tb: 0.812 0.812 0.744
Y: 0.000 0.000 0.500
Pb: 0.199 0.199 0.755
Pb: 0.425 0.425 0.747
Pb: 0.575 0.575 0.253
Pb: 0.801 0.801 0.245

energy = -4.8990 eV per atom
total magnetic moment = 0.000 μB/cell
space group = C2/m
N(E_F) = 6.571 states/eV/f.u.

***

2.
Below is a geometry-optimized ZrZnRuRh structure, with properties calculated at the PBE level.

Cell lengths 3.385, 4.284, 4.318 Å; angles 90.00, 90.00, 90.00 degrees
Fractional positions:
Zr: 0.000 0.000 0.000
Zn: 0.000 0.500 0.500
Ru: 0.500 0.500 0.000
Rh: 0.500 0.000 0.500

energy relative to the lowest polymorph listed for this composition = 0.0 meV per atom
total magnetic moment = 0.000 μB/cell
space group = Pmmm
N(E_F) = 2.737 states/eV/f.u.

***

3.
Below is a geometry-optimized Ti2Ni2Hg structure, with properties calculated at the PBE level.

Cell lengths 4.180, 4.180, 9.358 Å; angles 90.00, 90.00, 90.00 degrees
Fractional positions:
Ti: 0.000 0.500 0.250
Ti: 0.000 0.500 0.750
Ti: 0.500 0.000 0.250
Ti: 0.500 0.000 0.750
Ni: 0.000 0.000 0.119
Ni: 0.000 0.000 0.881
Ni: 0.500 0.500 0.381
Ni: 0.500 0.500 0.619
Hg: 0.000 0.000 0.500
Hg: 0.500 0.500 0.000

energy = -5.6171 eV per atom
total magnetic moment = 0.000 μB/cell
space group = I4/mmm
N(E_F) = 2.125 states/eV/f.u.

***

4.
Below is a geometry-optimized NaCuSn3 structure, with properties calculated at the PBE level.

Cell lengths 9.825, 4.352, 11.814 Å; angles 90.00, 90.00, 90.00 degrees
Fractional positions:
Na: 0.174 0.250 0.014
Na: 0.326 0.750 0.514
Na: 0.674 0.250 0.486
Na: 0.826 0.750 0.986
Cu: 0.079 0.250 0.650
Cu: 0.421 0.750 0.150
Cu: 0.579 0.250 0.850
Cu: 0.921 0.750 0.350
Sn: 0.083 0.250 0.418
Sn: 0.117 0.750 0.799
Sn: 0.158 0.750 0.223
Sn: 0.342 0.250 0.723
Sn: 0.383 0.250 0.299
Sn: 0.417 0.750 0.918
Sn: 0.583 0.250 0.082
Sn: 0.617 0.750 0.701
Sn: 0.658 0.750 0.277
Sn: 0.842 0.250 0.777
Sn: 0.883 0.250 0.201
Sn: 0.917 0.750 0.582

energy relative to the lowest polymorph listed for this composition = 0.0 meV per atom
total magnetic moment = 0.000 μB/cell
space group = Pnma
N(E_F) = 2.095 states/eV/f.u.

***

| no. | volume (Å³ per cell) |
| --- | --- |
| 1 | 304.1 |
| 2 | 62.6 |
| 3 | 163.5 |
| 4 | 505.1 |